[1]
DFT (PBE-GGA) results for V5Ir2Rh5 after structural relaxation.

Cell lengths 4.313, 6.603, 7.356 Å; angles 120.15, 90.00, 109.06 degrees
Fractional coordinates of all 12 atoms:
Rh 0.590 0.181 0.928
Rh 0.679 0.357 0.364
Ir 0.845 0.690 0.227
Rh 0.410 0.819 0.072
V 0.000 0.000 0.000
Rh 0.321 0.643 0.636
V 0.076 0.153 0.376
V 0.762 0.525 0.804
Ir 0.155 0.310 0.773
V 0.238 0.475 0.196
V 0.924 0.847 0.624
Rh 0.500 0.000 0.500

DOS(E_F), states/eV per atom: 0.858
E_form, meV/atom: -324
M_tot, μB per formula unit: 0.00

---

[2]
DFT (PBE-GGA) results for TaTiNbRe after structural relaxation.

Cell lengths 4.556, 4.556, 4.556 Å; angles 60.00, 60.00, 60.00 degrees
Fractional coordinates of all 4 atoms:
Re 0.750 0.750 0.750
Ta 0.000 0.000 0.000
Ti 0.250 0.250 0.250
Nb 0.500 0.500 0.500

DOS(E_F), states/eV per atom: 1.312
E_form, meV/atom: -210
M_tot, μB per formula unit: 0.00

---

[3]
DFT (PBE-GGA) results for SiGe3W after structural relaxation.

Cell lengths 4.636, 4.636, 4.636 Å; angles 90.00, 90.00, 90.00 degrees
Fractional coordinates of all 5 atoms:
Si 0.000 0.000 0.000
W 0.500 0.500 0.500
Ge 0.000 0.500 0.000
Ge 0.500 0.000 0.000
Ge 0.000 0.000 0.500

Uncorrected formation energy, meV/atom: 1482
DOS(E_F), states/eV per atom: 1.228
M_tot, μB per formula unit: 0.00

---

[4]
DFT (PBE-GGA) results for AlAg4 after structural relaxation.

Cell lengths 5.175, 5.581, 7.302 Å; angles 80.54, 69.24, 62.38 degrees
Fractional coordinates of all 10 atoms:
Ag 0.219 0.909 0.200
Ag 0.328 0.091 0.800
Ag 0.169 0.409 0.300
Ag 0.947 0.074 0.605
Al 0.479 0.500 0.500
Ag 0.878 0.591 0.700
Al 0.729 0.000 0.000
Ag 0.301 0.574 0.895
Ag 0.771 0.426 0.105
Ag 0.626 0.926 0.395

DOS(E_F), states/eV per atom: 0.255
E_form, meV/atom: -17
M_tot, μB per formula unit: 0.00

---

[5]
DFT (PBE-GGA) results for Ac2PmGa3Rh4 after structural relaxation.

Cell lengths 4.400, 4.400, 11.142 Å; angles 90.00, 90.00, 90.00 degrees
Fractional coordinates of all 10 atoms:
Ga 0.000 0.500 0.111
Rh 0.500 0.000 0.656
Ac 0.500 0.000 0.224
Ga 0.000 0.000 0.500
Rh 0.500 0.500 0.000
Ac 0.000 0.500 0.776
Pm 0.500 0.500 0.500
Ga 0.500 0.000 0.889
Rh 0.000 0.000 0.000
Rh 0.000 0.500 0.344

DOS(E_F), states/eV per atom: 0.746
E_form, meV/atom: -765
M_tot, μB per formula unit: 0.00

---

[6]
DFT (PBE-GGA) results for AlNi2Te after structural relaxation.

Cell lengths 3.234, 3.234, 6.577 Å; angles 90.00, 90.00, 90.00 degrees
Fractional coordinates of all 4 atoms:
Ni 0.500 0.500 0.227
Ni 0.000 0.000 0.006
Al 0.500 0.500 0.859
Te 0.000 0.000 0.408

Uncorrected formation energy, meV/atom: -40
DOS(E_F), states/eV per atom: 0.397
M_tot, μB per formula unit: 0.00